Version 1
VASP calculation (meta-GGA SCAN) on a crystal of HgSb2Cl relaxed with PBEsol.

a b c (Å): 3.375 3.949 7.388
angles (deg): 90.00 90.00 90.00
Space group Pmmm (No. 47)
Unique sites:
Hg  0.000  0.000  0.000 [1 per cell]
Sb  0.500  0.500  0.217 [2 per cell]
Cl  0.000  0.000  0.500 [1 per cell]

Properties
ρ   8.09 Mg/m³
Volume   24.6 Å³/atom



Version 2
VASP calculation (meta-GGA SCAN) on a crystal of HgSb2Cl relaxed with PBEsol.

a b c (Å): 3.316 5.581 5.597
angles (deg): 90.00 90.00 90.00
Space group Pmm2 (No. 25)
Unique sites:
Hg  0.000  0.000  0.000 [1 per cell]
Sb  0.000  0.000  0.500 [1 per cell]
Sb  0.500  0.500  0.495 [1 per cell]
Cl  0.500  0.500  0.988 [1 per cell]

Properties
ρ   7.69 Mg/m³
Volume   25.9 Å³/atom



Version 3
VASP calculation (meta-GGA SCAN) on a crystal of HgSb2Cl relaxed with PBEsol.

a b c (Å): 4.416 4.416 21.670
angles (deg): 90.00 90.00 90.00
Space group I-42d (No. 122)
Unique sites:
Hg  0.000  0.000  0.000 [4 per cell]
Sb  0.212  0.250  0.125 [8 per cell]
Cl  0.000  0.000  0.500 [4 per cell]

Properties
ρ   7.54 Mg/m³
Volume   26.4 Å³/atom



Which of them is most stable? Easy: version 2.



Version 1
VASP calculation (meta-GGA SCAN) on a crystal of Hg2SbCl relaxed with PBEsol.

a b c (Å): 14.579 4.051 4.174
angles (deg): 90.00 102.28 90.00
Space group Cm (No. 8)
Unique sites:
Hg  0.000  0.000  0.000 [2 per cell]
Hg  0.183  0.500  0.781 [2 per cell]
Sb  0.185  0.000  0.285 [2 per cell]
Cl  0.388  0.000  0.747 [2 per cell]

Properties
ρ   7.70 Mg/m³
Volume   30.1 Å³/atom



Version 2
VASP calculation (meta-GGA SCAN) on a crystal of Hg2SbCl relaxed with PBEsol.

a b c (Å): 3.4762 3.4762 27.3052
angles (deg): 90.00 90.00 120.00
Space group R3m (No. 160, hexagonal axes)
Unique sites:
Hg  0.0000  0.0000  0.0000 [3 per cell]
Hg  0.0000  0.0000  0.2542 [3 per cell]
Sb  0.0000  0.0000  0.5027 [3 per cell]
Cl  0.0000  0.0000  0.7370 [3 per cell]

Properties
ρ   9.73 Mg/m³
Volume   23.8 Å³/atom



Version 3
VASP calculation (meta-GGA SCAN) on a crystal of Hg2SbCl relaxed with PBEsol.

a b c (Å): 3.262 5.615 10.310
angles (deg): 90.00 90.00 90.00
Space group Imm2 (No. 44)
Unique sites:
Hg  0.000  0.000  0.000 [2 per cell]
Hg  0.000  0.500  0.253 [2 per cell]
Sb  0.000  0.500  0.745 [2 per cell]
Cl  0.000  0.000  0.484 [2 per cell]

Properties
ρ   9.82 Mg/m³
Volume   23.6 Å³/atom



Which of them is most stable? Easy: version 1.



Version 1
VASP calculation (meta-GGA SCAN) on a crystal of Hg2SbCl relaxed with PBEsol.

a b c (Å): 3.155 4.866 12.907
angles (deg): 90.00 90.00 90.00
Space group Immm (No. 71)
Unique sites:
Hg  0.000  0.000  0.213 [4 per cell]
Sb  0.000  0.500  0.500 [2 per cell]
Cl  0.000  0.500  0.000 [2 per cell]

Properties
ρ   9.36 Mg/m³
Volume   24.8 Å³/atom



Version 2
VASP calculation (meta-GGA SCAN) on a crystal of Hg2SbCl relaxed with PBEsol.

a b c (Å): 3.898 5.648 8.730
angles (deg): 90.00 90.00 90.00
Space group Cmmm (No. 65)
Unique sites:
Hg  0.000  0.000  0.237 [4 per cell]
Sb  0.000  0.500  0.500 [2 per cell]
Cl  0.000  0.500  0.000 [2 per cell]

Properties
ρ   9.65 Mg/m³
Volume   24.0 Å³/atom



Which of them is most stable? Easy: version 2.